# SrDy3Ru | Alexandria via LeMat-Bulk | PBE-GGA | optimized geometry
data_SrDy3Ru
_chemical_formula_sum 'Sr1 Dy3 Ru1'
_symmetry_space_group_name_H-M 'P 1'
_symmetry_Int_Tables_number 1
_symmetry_space_group_name_Hall 'P 1'
_cell_length_a 5.485
_cell_length_b 5.485
_cell_length_c 5.485
_cell_angle_alpha 90.00
_cell_angle_beta 90.00
_cell_angle_gamma 90.00
loop_
_atom_site_label
_atom_site_type_symbol
_atom_site_fract_x
_atom_site_fract_y
_atom_site_fract_z
Ru1 Ru 0.000 0.000 0.000
Sr1 Sr 0.500 0.500 0.500
Dy1 Dy 0.000 0.500 0.000
Dy2 Dy 0.000 0.000 0.500
Dy3 Dy 0.500 0.000 0.000
# Total energy in eV/atom: -5.096
# Magnetization in μB per cell: 0.00
# Formation enthalpy at 0 K in meV per atom: -143
# DOS(E_F) in states/eV/cell: 2.9



# DyTaRu2 | Alexandria via LeMat-Bulk | PBE-GGA | optimized geometry
data_DyTaRu2
_chemical_formula_sum 'Dy1 Ta1 Ru2'
_symmetry_space_group_name_H-M 'P 1'
_symmetry_Int_Tables_number 1
_symmetry_space_group_name_Hall 'P 1'
_cell_length_a 3.214
_cell_length_b 3.214
_cell_length_c 6.883
_cell_angle_alpha 90.00
_cell_angle_beta 90.00
_cell_angle_gamma 90.00
loop_
_atom_site_label
_atom_site_type_symbol
_atom_site_fract_x
_atom_site_fract_y
_atom_site_fract_z
Ru1 Ru 0.000 0.000 0.781
Ru2 Ru 0.000 0.000 0.219
Dy1 Dy 0.500 0.500 0.500
Ta1 Ta 0.500 0.500 0.000
# Total energy in eV/atom: -9.189
# Magnetization in μB per cell: 0.00
# Formation enthalpy at 0 K in meV per atom: -437
# DOS(E_F) in states/eV/cell: 1.9



# Dy2TaRu3 | Alexandria via LeMat-Bulk | PBE-GGA | optimized geometry
data_Dy2TaRu3
_chemical_formula_sum 'Dy4 Ta2 Ru6'
_symmetry_space_group_name_H-M 'P 1'
_symmetry_Int_Tables_number 1
_symmetry_space_group_name_Hall 'P 1'
_cell_length_a 4.671
_cell_length_b 7.378
_cell_length_c 6.727
_cell_angle_alpha 90.00
_cell_angle_beta 90.00
_cell_angle_gamma 71.54
loop_
_atom_site_label
_atom_site_type_symbol
_atom_site_fract_x
_atom_site_fract_y
_atom_site_fract_z
Dy1 Dy 0.000 0.000 0.000
Dy2 Dy 0.000 0.000 0.500
Dy3 Dy 0.334 0.332 0.500
Dy4 Dy 0.666 0.668 0.500
Ta1 Ta 0.332 0.337 0.000
Ta2 Ta 0.668 0.663 0.000
Ru1 Ru 0.827 0.347 0.774
Ru2 Ru 0.500 0.000 0.232
Ru3 Ru 0.173 0.653 0.226
Ru4 Ru 0.827 0.347 0.226
Ru5 Ru 0.173 0.653 0.774
Ru6 Ru 0.500 0.000 0.768
# Total energy in eV/atom: -8.561
# Magnetization in μB per cell: 0.00
# Formation enthalpy at 0 K in meV per atom: -413
# DOS(E_F) in states/eV/cell: 2.8



# Dy5TaRu6 | Alexandria via LeMat-Bulk | PBE-GGA | optimized geometry
data_Dy5TaRu6
_chemical_formula_sum 'Dy5 Ta1 Ru6'
_symmetry_space_group_name_H-M 'P 1'
_symmetry_Int_Tables_number 1
_symmetry_space_group_name_Hall 'P 1'
_cell_length_a 4.750
_cell_length_b 6.750
_cell_length_c 8.202
_cell_angle_alpha 65.70
_cell_angle_beta 73.21
_cell_angle_gamma 90.00
loop_
_atom_site_label
_atom_site_type_symbol
_atom_site_fract_x
_atom_site_fract_y
_atom_site_fract_z
Ru1 Ru 0.843 0.605 0.314
Ru2 Ru 0.843 0.081 0.314
Ru3 Ru 0.500 0.771 0.000
Ru4 Ru 0.500 0.229 0.000
Ru5 Ru 0.157 0.919 0.686
Ru6 Ru 0.157 0.395 0.686
Ta1 Ta 0.000 0.000 0.000
Dy1 Dy 0.667 0.167 0.665
Dy2 Dy 0.335 0.335 0.331
Dy3 Dy 0.000 0.500 0.000
Dy4 Dy 0.665 0.665 0.669
Dy5 Dy 0.333 0.833 0.335
# Total energy in eV/atom: -7.912
# Magnetization in μB per cell: 0.00
# Formation enthalpy at 0 K in meV per atom: -369
# DOS(E_F) in states/eV/cell: 7.6